No. 1
PtS2BrO8 PBE optimized geometry; total energy = -5.370 eV/atom; Fermi-level density of states = 0.271 states/eV per atom; total moment = 0.085 μB/atom; crystal system = monoclinic; symmetry = No. 12; formation energy from raw total energies = -0.734 eV per atom
1.0
-0.6736 1.8240 -4.3751
-4.2396 -1.1396 -1.9102
-6.1602 7.8558 0.5329
S O Pt Br
2 8 1 1
direct
0.4403 0.4403 0.8296
0.5597 0.5597 0.1704
0.5799 0.5799 0.3059
0.7337 0.7337 0.0304
0.2169 0.6832 0.1614
0.2663 0.2663 0.9696
0.4201 0.4201 0.6941
0.7831 0.3168 0.8386
0.6832 0.2169 0.1614
0.3168 0.7831 0.8386
0.0000 0.0000 0.0000
0.0000 0.0000 0.5000


No. 2
PtSe2BrO PBE optimized geometry; total energy = -3.024 eV/atom; Fermi-level density of states = 1.194 states/eV per atom; total moment = 0.000 μB/atom; crystal system = tetragonal; symmetry = No. 123; formation energy from raw total energies = 0.905 eV per atom
1.0
4.4254 0.0000 0.0000
0.0000 4.4254 0.0000
0.0000 0.0000 4.6863
Se Br O Pt
2 1 1 1
direct
0.0000 0.5000 0.0000
0.5000 0.0000 0.0000
0.0000 0.0000 0.5000
0.0000 0.0000 0.0000
0.5000 0.5000 0.5000


No. 3
PtSeBr2O PBE optimized geometry; total energy = -2.654 eV/atom; Fermi-level density of states = 2.540 states/eV per atom; total moment = 0.000 μB/atom; crystal system = tetragonal; symmetry = No. 123; formation energy from raw total energies = 0.912 eV per atom
1.0
5.1791 0.0000 0.0000
0.0000 5.1791 0.0000
0.0000 0.0000 4.7801
Br O Se Pt
2 1 1 1
direct
0.0000 0.5000 0.0000
0.5000 0.0000 0.0000
0.5000 0.5000 0.5000
0.0000 0.0000 0.5000
0.0000 0.0000 0.0000


No. 4
PtSe2BrO PBE optimized geometry; total energy = -2.923 eV/atom; Fermi-level density of states = 2.153 states/eV per atom; total moment = 0.000 μB/atom; crystal system = tetragonal; symmetry = No. 123; formation energy from raw total energies = 1.005 eV per atom
1.0
4.9032 0.0000 0.0000
0.0000 4.9032 0.0000
0.0000 0.0000 5.1481
Se Br O Pt
2 1 1 1
direct
0.5000 0.0000 0.0000
0.0000 0.5000 0.0000
0.0000 0.0000 0.5000
0.5000 0.5000 0.5000
0.0000 0.0000 0.0000